Model 1:
VASP calculation (PBEsol) on an optimized crystal structure of Sc2FeMo.

Output
Size of the total moment = 0.0001 μB/atom

abc: 2.9428 2.9428 8.0838
angles: 90.00 90.00 90.00
Space group P4mm (No. 99)
Symmetry-distinct sites (fractional):
Sc  0.0000  0.0000  0.0000 [1 per cell]
Sc  0.5000  0.5000  0.3640 [1 per cell]
Fe  0.0000  0.0000  0.5815 [1 per cell]
Mo  0.5000  0.5000  0.7473 [1 per cell]

Model 2:
VASP calculation (PBEsol) on an optimized crystal structure of Sc2FeMo.

Output
Size of the total moment = 0.1041 μB/atom

abc: 2.8933 2.8933 27.7033
angles: 90.00 90.00 120.00
Space group R-3m (No. 166, hexagonal axes)
Symmetry-distinct sites (fractional):
Sc  0.0000  0.0000  0.0974 [6 per cell]
Fe  0.0000  0.0000  0.5000 [3 per cell]
Mo  0.0000  0.0000  0.0000 [3 per cell]

model 1 is favored, and the nearest alternative lies 0.514 eV/atom above it.

Model 1:
VASP calculation (PBEsol) on an optimized crystal structure of ZnRe2Se.

Output
Size of the total moment = 0.0006 μB/atom

abc: 8.9293 3.0196 4.5599
angles: 90.00 108.54 90.00
Space group Cm (No. 8)
Symmetry-distinct sites (fractional):
Zn  0.0000  0.0000  0.0000 [2 per cell]
Re  0.0138  0.5000  0.5155 [2 per cell]
Re  0.2549  0.0000  0.8661 [2 per cell]
Se  0.2627  0.5000  0.3137 [2 per cell]

Model 2:
VASP calculation (PBEsol) on an optimized crystal structure of ZnRe2Se.

Output
Size of the total moment = 0.0000 μB/atom

abc: 2.9345 4.4953 4.5763
angles: 90.00 90.00 90.00
Space group Pmmm (No. 47)
Symmetry-distinct sites (fractional):
Zn  0.0000  0.0000  0.0000 [1 per cell]
Re  0.0000  0.5000  0.5000 [1 per cell]
Re  0.5000  0.5000  0.0000 [1 per cell]
Se  0.5000  0.0000  0.5000 [1 per cell]

model 1 is favored, and the nearest alternative lies 0.253 eV/atom above it.

Model 1:
VASP calculation (PBEsol) on an optimized crystal structure of HgPb2Au.

Output
Size of the total moment = 0.0000 μB/atom

abc: 8.3550 3.7584 6.8832
angles: 90.00 103.66 90.00
Space group C2/m (No. 12)
Symmetry-distinct sites (fractional):
Hg  0.0000  0.0000  0.0000 [2 per cell]
Pb  0.2384  0.0000  0.7168 [4 per cell]
Au  0.0000  0.5000  0.5000 [2 per cell]

Model 2:
VASP calculation (PBEsol) on an optimized crystal structure of HgPb2Au.

Output
Size of the total moment = 0.0000 μB/atom

abc: 5.1535 5.1535 3.6540
angles: 90.00 90.00 90.00
Space group P4/mmm (No. 123)
Symmetry-distinct sites (fractional):
Hg  0.0000  0.0000  0.0000 [1 per cell]
Pb  0.0000  0.5000  0.5000 [2 per cell]
Au  0.5000  0.5000  0.0000 [1 per cell]

model 1 is favored, and the nearest alternative lies 0.027 eV/atom above it.

Model 1:
VASP calculation (PBEsol) on an optimized crystal structure of BaPtW2.

Output
Size of the total moment = 0.0000 μB/atom

abc: 2.8551 5.1594 5.3011
angles: 90.00 90.00 90.00
Space group Pmmm (No. 47)
Symmetry-distinct sites (fractional):
Ba  0.0000  0.0000  0.0000 [1 per cell]
Pt  0.5000  0.5000  0.0000 [1 per cell]
W  0.0000  0.5000  0.5000 [1 per cell]
W  0.5000  0.0000  0.5000 [1 per cell]

Model 2:
VASP calculation (PBEsol) on an optimized crystal structure of BaPtW2.

Output
Size of the total moment = 0.0001 μB/atom

abc: 4.7935 4.7935 3.1949
angles: 90.00 90.00 90.00
Space group P4/mmm (No. 123)
Symmetry-distinct sites (fractional):
Ba  0.0000  0.0000  0.0000 [1 per cell]
Pt  0.5000  0.5000  0.0000 [1 per cell]
W  0.0000  0.5000  0.5000 [2 per cell]

model 1 is favored, and the nearest alternative lies 0.377 eV/atom above it.

Model 1:
VASP calculation (PBEsol) on an optimized crystal structure of Li2FeO2F.

Output
Size of the total moment = 0.3333 μB/atom

abc: 4.9049 8.5158 9.5592
angles: 90.00 99.73 90.00
Space group C2 (No. 5)
Symmetry-distinct sites (fractional):
Li  0.0000  0.0000  0.0000 [2 per cell]
Li  0.0000  0.3461  0.0000 [2 per cell]
Li  0.2409  0.8422  0.2526 [4 per cell]
Li  0.2414  0.9947  0.7527 [4 per cell]
Li  0.2441  0.6777  0.7500 [4 per cell]
Fe  0.0000  0.1716  0.5000 [2 per cell]
Fe  0.0000  0.5059  0.5000 [2 per cell]
Fe  0.0000  0.7015  0.0000 [2 per cell]
Fe  0.0000  0.8388  0.5000 [2 per cell]
O  0.1241  0.8350  0.8743 [4 per cell]
O  0.1296  0.3387  0.3926 [4 per cell]
O  0.1315  0.0057  0.3919 [4 per cell]
O  0.1317  0.6719  0.3928 [4 per cell]
F  0.1184  0.5070  0.8739 [4 per cell]
F  0.1192  0.1688  0.8711 [4 per cell]

Model 2:
VASP calculation (PBEsol) on an optimized crystal structure of Li2FeO2F.

Output
Size of the total moment = 0.6733 μB/atom

abc: 5.1428 8.5504 5.1117
angles: 90.00 113.21 90.00
Space group Cc (No. 9)
Symmetry-distinct sites (fractional):
Li  0.0000  0.0819  0.0000 [4 per cell]
Li  0.0190  0.2512  0.4763 [4 per cell]
Fe  0.0494  0.3979  0.9779 [4 per cell]
O  0.2371  0.4304  0.7245 [4 per cell]
O  0.2785  0.2450  0.2370 [4 per cell]
F  0.2663  0.0842  0.7148 [4 per cell]

model 1 is favored, and the nearest alternative lies 0.056 eV/atom above it.

Model 1:
VASP calculation (PBEsol) on an optimized crystal structure of LiAu5.

Output
Size of the total moment = 0.0000 μB/atom

abc: 10.5734 2.8394 6.8385
angles: 90.00 106.12 90.00
Space group Cm (No. 8)
Symmetry-distinct sites (fractional):
Li  0.0000  0.0000  0.0000 [2 per cell]
Au  0.1093  0.5000  0.7242 [2 per cell]
Au  0.1654  0.5000  0.3242 [2 per cell]
Au  0.2772  0.0000  0.0503 [2 per cell]
Au  0.3405  0.0000  0.6781 [2 per cell]
Au  0.4463  0.5000  0.3813 [2 per cell]

Model 2:
VASP calculation (PBEsol) on an optimized crystal structure of LiAu5.

Output
Size of the total moment = 0.0000 μB/atom

abc: 3.9115 12.2747 4.0616
angles: 90.00 90.00 90.00
Space group Cmmm (No. 65)
Symmetry-distinct sites (fractional):
Li  0.0000  0.0000  0.0000 [2 per cell]
Au  0.0000  0.1646  0.5000 [4 per cell]
Au  0.0000  0.3400  0.0000 [4 per cell]
Au  0.0000  0.5000  0.5000 [2 per cell]

model 2 is favored, and the nearest alternative lies 0.045 eV/atom above it.